Entry 1:
{
  "formula": "AcYZn",
  "functional": "GGA-PBE",
  "state": "optimized geometry",
  "sg": "F-43m, No. 216",
  "total_magnetization_mub_per_fu": 0.0,
  "delta_e_f_ev_per_atom": 0.052,
  "relative_energy_ev_per_atom": 0.0000,
  "lattice": [[0.000, 3.679, 3.679], [3.679, 0.000, 3.679], [3.679, 3.679, 0.000]],
  "species": ["Ac", "Y", "Zn"],
  "frac_coords": [[0.000, 0.000, 0.000], [0.500, 0.500, 0.500], [0.250, 0.250, 0.250]]
}

***

Entry 2:
{
  "formula": "AcZn2",
  "functional": "GGA-PBE",
  "state": "optimized geometry",
  "sg": "Cmcm, No. 63",
  "total_magnetization_mub_per_fu": 0.0,
  "delta_e_f_ev_per_atom": -0.165,
  "relative_energy_ev_per_atom": 0.1437,
  "lattice": [[1.947, -7.139, 0.000], [1.947, 7.139, 0.000], [0.000, 0.000, 5.424]],
  "species": ["Ac", "Ac", "Zn", "Zn", "Zn", "Zn"],
  "frac_coords": [[0.098, 0.902, 0.750], [0.902, 0.098, 0.250], [0.225, 0.775, 0.250], [0.402, 0.598, 0.750], [0.598, 0.402, 0.250], [0.775, 0.225, 0.750]]
}

***

Entry 3:
{
  "formula": "AcZn3",
  "functional": "GGA-PBE",
  "state": "optimized geometry",
  "sg": "Cmcm, No. 63",
  "total_magnetization_mub_per_fu": 0.0,
  "delta_e_f_ev_per_atom": -0.251,
  "lattice": [[3.597, -5.773, 0.000], [3.597, 5.773, 0.000], [0.000, 0.000, 4.398]],
  "species": ["Ac", "Ac", "Zn", "Zn", "Zn", "Zn", "Zn", "Zn"],
  "frac_coords": [[0.156, 0.844, 0.750], [0.844, 0.156, 0.250], [0.239, 0.380, 0.750], [0.363, 0.637, 0.250], [0.380, 0.239, 0.250], [0.620, 0.761, 0.750], [0.637, 0.363, 0.750], [0.761, 0.620, 0.250]]
}

***

Entry 4:
{
  "formula": "AcZn2",
  "functional": "GGA-PBE",
  "state": "optimized geometry",
  "sg": "Pmmn, No. 59",
  "total_magnetization_mub_per_fu": 0.0,
  "delta_e_f_ev_per_atom": -0.050,
  "relative_energy_ev_per_atom": 0.2579,
  "lattice": [[4.665, 0.000, 0.000], [0.000, 11.713, 0.000], [0.000, 0.000, 5.545]],
  "species": ["Ac", "Ac", "Ac", "Ac", "Zn", "Zn", "Zn", "Zn", "Zn", "Zn", "Zn", "Zn"],
  "frac_coords": [[0.250, 0.087, 0.187], [0.250, 0.413, 0.187], [0.750, 0.587, 0.813], [0.750, 0.913, 0.813], [0.250, 0.250, 0.689], [0.250, 0.643, 0.462], [0.250, 0.750, 0.036], [0.250, 0.857, 0.462], [0.750, 0.143, 0.538], [0.750, 0.250, 0.964], [0.750, 0.357, 0.538], [0.750, 0.750, 0.311]]
}

***

Entry 5:
{
  "formula": "AcZn3",
  "functional": "GGA-PBE",
  "state": "optimized geometry",
  "sg": "Pmmn, No. 59",
  "total_magnetization_mub_per_fu": 0.0,
  "delta_e_f_ev_per_atom": -0.276,
  "lattice": [[4.374, 0.000, 0.000], [0.000, 6.673, 0.000], [0.000, 0.000, 6.052]],
  "species": ["Ac", "Ac", "Zn", "Zn", "Zn", "Zn", "Zn", "Zn"],
  "frac_coords": [[0.250, 0.250, 0.117], [0.750, 0.750, 0.883], [0.250, 0.033, 0.627], [0.250, 0.467, 0.627], [0.250, 0.750, 0.314], [0.750, 0.250, 0.686], [0.750, 0.533, 0.373], [0.750, 0.967, 0.373]]
}

***

Entry 6:
{
  "formula": "AcZn2",
  "functional": "GGA-PBE",
  "state": "optimized geometry",
  "sg": "Imma, No. 74",
  "total_magnetization_mub_per_fu": 0.0,
  "delta_e_f_ev_per_atom": -0.308,
  "relative_energy_ev_per_atom": 0.0000,
  "lattice": [[-2.384, 3.905, 3.939], [2.384, -3.905, 3.939], [2.384, 3.905, -3.939]],
  "species": ["Ac", "Ac", "Zn", "Zn", "Zn", "Zn"],
  "frac_coords": [[0.287, 0.037, 0.250], [0.713, 0.963, 0.750], [0.109, 0.666, 0.443], [0.277, 0.334, 0.943], [0.723, 0.666, 0.057], [0.891, 0.334, 0.557]]
}